Entry 1:
Below is Sn3SbI after structural relaxation, with properties calculated at the PBE level.

It has space group Pm-3m (No. 221), with a = 5.879 Å, b = 5.879 Å, c = 5.879 Å, α = 90.00°, β = 90.00° and γ = 90.00°. The inequivalent atoms are Sn at (0.000, 0.000, 0.500), Sb at (0.000, 0.000, 0.000) and I at (0.500, 0.500, 0.500).

The formation energy from raw total energies comes out at 0.52 eV per atom.


Entry 2:
Below is SnSbI2 after structural relaxation, with properties calculated at the PBE level.

It has space group Fm-3m (No. 225), with a = 7.979 Å, b = 7.979 Å, c = 7.979 Å, α = 90.00°, β = 90.00° and γ = 90.00°. The inequivalent atoms are Sn at (0.000, 0.000, 0.000), Sb at (0.000, 0.000, 0.500) and I at (0.250, 0.250, 0.250).

The formation energy from raw total energies comes out at 0.25 eV per atom.


Entry 3:
Below is Sn2SbI2 after structural relaxation, with properties calculated at the PBE level.

It has space group C2/m (No. 12), with a = 7.605 Å, b = 4.395 Å, c = 12.187 Å, α = 90.00°, β = 103.18° and γ = 90.00°. The inequivalent atoms are Sn at (0.220, 0.000, 0.147), Sb at (0.000, 0.500, 0.000) and I at (0.051, 0.000, 0.683).

The formation energy from raw total energies comes out at -0.20 eV per atom.


Entry 4:
Below is SnSbI2 after structural relaxation, with properties calculated at the PBE level.

It has space group I-42d (No. 122), with a = 8.858 Å, b = 8.858 Å, c = 7.319 Å, α = 90.00°, β = 90.00° and γ = 90.00°. The inequivalent atoms are Sn at (0.000, 0.000, 0.000), Sb at (0.000, 0.000, 0.500) and I at (0.250, 0.250, 0.375).

The formation energy from raw total energies comes out at 0.18 eV per atom.


Entry 5:
Below is SnSb2I8 after structural relaxation, with properties calculated at the PBE level.

It has space group C2/m (No. 12), with a = 15.181 Å, b = 8.801 Å, c = 9.394 Å, α = 90.00°, β = 92.00° and γ = 90.00°. The inequivalent atoms are Sn at (0.000, 0.000, 0.000), Sb at (0.135, 0.000, 0.363), I at (0.087, 0.000, 0.701), I at (0.134, 0.241, 0.153) and I at (0.184, 0.500, 0.579).

The formation energy from raw total energies comes out at -0.31 eV per atom.


Entry 6:
Below is SnSb3I after structural relaxation, with properties calculated at the PBE level.

It has space group Pm-3m (No. 221), with a = 5.718 Å, b = 5.718 Å, c = 5.718 Å, α = 90.00°, β = 90.00° and γ = 90.00°. The inequivalent atoms are Sn at (0.000, 0.000, 0.000), Sb at (0.000, 0.000, 0.500) and I at (0.500, 0.500, 0.500).

The formation energy from raw total energies comes out at 0.72 eV per atom.


Entry 7:
Below is Sn3Sb3I after structural relaxation, with properties calculated at the PBE level.

It has space group Pm-3n (No. 223), with a = 8.276 Å, b = 8.276 Å, c = 8.276 Å, α = 90.00°, β = 90.00° and γ = 90.00°. The inequivalent atoms are Sn at (0.000, 0.250, 0.500), Sb at (0.000, 0.500, 0.250) and I at (0.000, 0.000, 0.000).

The formation energy from raw total energies comes out at 0.10 eV per atom.


Entry 8:
Below is SnSbI3 after structural relaxation, with properties calculated at the PBE level.

It has space group Pm-3m (No. 221), with a = 6.038 Å, b = 6.038 Å, c = 6.038 Å, α = 90.00°, β = 90.00° and γ = 90.00°. The inequivalent atoms are Sn at (0.000, 0.000, 0.000), Sb at (0.500, 0.500, 0.500) and I at (0.000, 0.500, 0.500).

The formation energy from raw total energies comes out at 0.20 eV per atom.


Entry 9:
Below is SrSnSbI2 after structural relaxation, with properties calculated at the PBE level.

It has space group P4/mmm (No. 123), with a = 5.973 Å, b = 5.973 Å, c = 5.886 Å, α = 90.00°, β = 90.00° and γ = 90.00°. The inequivalent atoms are Sr at (0.000, 0.000, 0.000), Sn at (0.500, 0.500, 0.500), Sb at (0.500, 0.500, 0.000) and I at (0.000, 0.500, 0.500).

The formation energy from raw total energies comes out at -0.34 eV per atom.


Entry 10:
Below is SrSnSbI2 after structural relaxation, with properties calculated at the PBE level.

It has space group P4/mmm (No. 123), with a = 6.092 Å, b = 6.092 Å, c = 6.639 Å, α = 90.00°, β = 90.00° and γ = 90.00°. The inequivalent atoms are Sr at (0.000, 0.000, 0.000), Sn at (0.500, 0.500, 0.500), Sb at (0.000, 0.000, 0.500) and I at (0.000, 0.500, 0.000).

The formation energy from raw total energies comes out at -0.08 eV per atom.


Entry 11:
Below is TaSnSbI2 after structural relaxation, with properties calculated at the PBE level.

It has space group P4/mmm (No. 123), with a = 5.768 Å, b = 5.768 Å, c = 5.850 Å, α = 90.00°, β = 90.00° and γ = 90.00°. The inequivalent atoms are Ta at (0.000, 0.000, 0.000), Sn at (0.500, 0.500, 0.500), Sb at (0.500, 0.500, 0.000) and I at (0.000, 0.500, 0.500).

The formation energy from raw total energies comes out at 1.35 eV per atom.


Entry 12:
Below is TaSnSbI2 after structural relaxation, with properties calculated at the PBE level.

It has space group P4/mmm (No. 123), with a = 5.468 Å, b = 5.468 Å, c = 5.595 Å, α = 90.00°, β = 90.00° and γ = 90.00°. The inequivalent atoms are Ta at (0.000, 0.000, 0.000), Sn at (0.500, 0.500, 0.500), Sb at (0.000, 0.000, 0.500) and I at (0.000, 0.500, 0.000).

The formation energy from raw total energies comes out at 0.51 eV per atom.


Entry 13:
Below is TcSnSbI2 after structural relaxation, with properties calculated at the PBE level.

It has space group P4/mmm (No. 123), with a = 5.528 Å, b = 5.528 Å, c = 5.136 Å, α = 90.00°, β = 90.00° and γ = 90.00°. The inequivalent atoms are Tc at (0.000, 0.000, 0.000), Sn at (0.500, 0.500, 0.500), Sb at (0.000, 0.000, 0.500) and I at (0.000, 0.500, 0.000).

The formation energy from raw total energies comes out at 0.54 eV per atom.


Entry 14:
Below is TcSnSbI2 after structural relaxation, with properties calculated at the PBE level.

It has space group P4/mmm (No. 123), with a = 5.871 Å, b = 5.871 Å, c = 5.953 Å, α = 90.00°, β = 90.00° and γ = 90.00°. The inequivalent atoms are Tc at (0.000, 0.000, 0.000), Sn at (0.500, 0.500, 0.500), Sb at (0.500, 0.500, 0.000) and I at (0.000, 0.500, 0.500).

The formation energy from raw total energies comes out at 1.15 eV per atom.


Entry 15:
Below is SnSb2TeI after structural relaxation, with properties calculated at the PBE level.

It has space group P4/mmm (No. 123), with a = 5.791 Å, b = 5.791 Å, c = 5.619 Å, α = 90.00°, β = 90.00° and γ = 90.00°. The inequivalent atoms are Sn at (0.000, 0.000, 0.000), Sb at (0.000, 0.500, 0.000), Te at (0.000, 0.000, 0.500) and I at (0.500, 0.500, 0.500).

The formation energy from raw total energies comes out at 0.62 eV per atom.


Entry 16:
Below is SnSbTeI2 after structural relaxation, with properties calculated at the PBE level.

It has space group P4/mmm (No. 123), with a = 5.819 Å, b = 5.819 Å, c = 6.140 Å, α = 90.00°, β = 90.00° and γ = 90.00°. The inequivalent atoms are Sn at (0.000, 0.000, 0.000), Sb at (0.000, 0.000, 0.500), Te at (0.500, 0.500, 0.500) and I at (0.000, 0.500, 0.000).

The formation energy from raw total energies comes out at 0.42 eV per atom.


Entry 17:
Below is SnSb2TeI after structural relaxation, with properties calculated at the PBE level.

It has space group P4/mmm (No. 123), with a = 5.792 Å, b = 5.792 Å, c = 5.647 Å, α = 90.00°, β = 90.00° and γ = 90.00°. The inequivalent atoms are Sn at (0.000, 0.000, 0.000), Sb at (0.000, 0.500, 0.000), Te at (0.500, 0.500, 0.500) and I at (0.000, 0.000, 0.500).

The formation energy from raw total energies comes out at 0.64 eV per atom.


Entry 18:
Below is SnSbTeI2 after structural relaxation, with properties calculated at the PBE level.

It has space group P4/mmm (No. 123), with a = 5.875 Å, b = 5.875 Å, c = 5.988 Å, α = 90.00°, β = 90.00° and γ = 90.00°. The inequivalent atoms are Sn at (0.000, 0.000, 0.000), Sb at (0.500, 0.500, 0.500), Te at (0.500, 0.500, 0.000) and I at (0.000, 0.500, 0.500).

The formation energy from raw total energies comes out at 0.24 eV per atom.


Entry 19:
Below is TiSnSbI2 after structural relaxation, with properties calculated at the PBE level.

It has space group P4/mmm (No. 123), with a = 5.400 Å, b = 5.400 Å, c = 5.686 Å, α = 90.00°, β = 90.00° and γ = 90.00°. The inequivalent atoms are Ti at (0.000, 0.000, 0.000), Sn at (0.500, 0.500, 0.500), Sb at (0.000, 0.000, 0.500) and I at (0.000, 0.500, 0.000).

The formation energy from raw total energies comes out at 0.09 eV per atom.


Entry 20:
Below is TiSnSbI2 after structural relaxation, with properties calculated at the PBE level.

It has space group P4/mmm (No. 123), with a = 5.798 Å, b = 5.798 Å, c = 5.888 Å, α = 90.00°, β = 90.00° and γ = 90.00°. The inequivalent atoms are Ti at (0.000, 0.000, 0.000), Sn at (0.500, 0.500, 0.500), Sb at (0.500, 0.500, 0.000) and I at (0.000, 0.500, 0.500).

The formation energy from raw total energies comes out at 0.84 eV per atom.